Record 1
! GaTc2Ge2 | OQMD | PBE | relaxed; values from VASP
&SYSTEM
  ibrav = 0, nat = 5, ntyp = 3
/
ATOMIC_SPECIES
Ga 69.72 Ga.upf
Ge 72.64 Ge.upf
Tc 98.00 Tc.upf
ATOMIC_POSITIONS crystal
Ga 0.000 0.000 0.000
Ge 0.750 0.250 0.500
Ge 0.250 0.750 0.500
Tc 0.395 0.395 0.000
Tc 0.605 0.605 0.000
CELL_PARAMETERS angstrom
-1.758 1.758 6.441
1.758 -1.758 6.441
1.758 1.758 -6.441
! space-group type = I4/mmm (139)
! distance to the lowest polymorph of the same formula = 141 meV/atom

***

Record 2
! Ba2CdCl2O2 | OQMD | PBE | relaxed; values from VASP
&SYSTEM
  ibrav = 0, nat = 7, ntyp = 4
/
ATOMIC_SPECIES
Ba 137.33 Ba.upf
Cd 112.41 Cd.upf
Cl 35.45 Cl.upf
O 16.00 O.upf
ATOMIC_POSITIONS crystal
Ba 0.808 0.808 0.256
Ba 0.192 0.192 0.744
Cd 0.000 0.000 0.000
Cl 0.566 0.566 0.344
Cl 0.434 0.434 0.656
O 0.183 0.183 0.072
O 0.817 0.817 0.928
CELL_PARAMETERS angstrom
6.214 -2.087 0.000
6.214 2.087 0.000
-4.007 0.000 6.623
! space-group type = C2/m (12)
! distance to the lowest polymorph of the same formula = 0 meV/atom

***

Record 3
! SrLaAuSe3 | OQMD | PBE | relaxed; values from VASP
&SYSTEM
  ibrav = 0, nat = 12, ntyp = 4
/
ATOMIC_SPECIES
Au 196.97 Au.upf
La 138.91 La.upf
Se 78.96 Se.upf
Sr 87.62 Sr.upf
ATOMIC_POSITIONS crystal
Au 0.107 0.250 0.088
Au 0.893 0.750 0.912
La 0.303 0.750 0.337
La 0.697 0.250 0.663
Se 0.288 0.750 0.035
Se 0.043 0.250 0.334
Se 0.572 0.250 0.354
Se 0.428 0.750 0.646
Se 0.957 0.750 0.666
Se 0.712 0.250 0.965
Sr 0.756 0.750 0.211
Sr 0.244 0.250 0.789
CELL_PARAMETERS angstrom
8.195 0.000 0.000
0.000 4.218 0.000
-2.558 0.000 9.721
! space-group type = P2_1/m (11)
! raw total energy = -4.903 eV per atom

***

Record 4
! Dy2TmNi2B2N3 | OQMD | PBE | relaxed; values from VASP
&SYSTEM
  ibrav = 0, nat = 10, ntyp = 5
/
ATOMIC_SPECIES
B 10.81 B.upf
Dy 162.50 Dy.upf
N 14.01 N.upf
Ni 58.69 Ni.upf
Tm 168.93 Tm.upf
ATOMIC_POSITIONS crystal
B 0.189 0.189 0.000
B 0.811 0.811 0.000
Dy 0.377 0.377 0.000
Dy 0.623 0.623 0.000
N 0.115 0.115 0.000
N 0.500 0.500 0.000
N 0.885 0.885 0.000
Ni 0.750 0.250 0.500
Ni 0.250 0.750 0.500
Tm 0.000 0.000 0.000
CELL_PARAMETERS angstrom
2.040 -2.207 9.805
-2.839 -2.142 9.619
0.388 -0.208 -10.246
! space-group type = I4/mmm (139)
! raw total energy = -7.561 eV per atom

***

Record 5
! Sr2YPd | OQMD | PBE | relaxed; values from VASP
&SYSTEM
  ibrav = 0, nat = 4, ntyp = 3
/
ATOMIC_SPECIES
Pd 106.42 Pd.upf
Sr 87.62 Sr.upf
Y 88.91 Y.upf
ATOMIC_POSITIONS crystal
Pd 0.500 0.500 0.500
Sr 0.000 0.000 0.000
Sr 0.750 0.750 0.750
Y 0.250 0.250 0.250
CELL_PARAMETERS angstrom
4.184 -1.388 3.348
3.155 3.942 2.267
-0.338 1.036 5.427
! space-group type = F-43m (216)
! raw total energy = -3.651 eV per atom

***

Record 6
! MoC | OQMD | PBE | relaxed; values from VASP
&SYSTEM
  ibrav = 0, nat = 4, ntyp = 2
/
ATOMIC_SPECIES
C 12.01 C.upf
Mo 95.94 Mo.upf
ATOMIC_POSITIONS crystal
C 0.000 0.000 0.000
C 0.000 0.000 0.500
Mo 0.333 0.667 0.250
Mo 0.667 0.333 0.750
CELL_PARAMETERS angstrom
2.958 0.000 0.000
-1.479 2.562 0.000
0.000 0.000 5.431
! space-group type = P6_3/mmc (194)
! distance to the lowest polymorph of the same formula = 120 meV/atom

***

Record 7
! Hf2AgTe2 | OQMD | PBE | relaxed; values from VASP
&SYSTEM
  ibrav = 0, nat = 5, ntyp = 3
/
ATOMIC_SPECIES
Ag 107.87 Ag.upf
Hf 178.49 Hf.upf
Te 127.60 Te.upf
ATOMIC_POSITIONS crystal
Ag 0.000 0.000 0.000
Hf 0.750 0.250 0.500
Hf 0.250 0.750 0.500
Te 0.621 0.621 0.241
Te 0.379 0.379 0.759
CELL_PARAMETERS angstrom
3.246 -3.246 0.000
3.246 3.246 0.000
-3.246 0.000 6.420
! space-group type = I4/mmm (139)
! raw total energy = -5.843 eV per atom

***

Record 8
! Cu2Ag3 | OQMD | PBE | relaxed; values from VASP
&SYSTEM
  ibrav = 0, nat = 10, ntyp = 2
/
ATOMIC_SPECIES
Ag 107.87 Ag.upf
Cu 63.55 Cu.upf
ATOMIC_POSITIONS crystal
Ag 0.887 0.887 0.283
Ag 0.499 0.499 0.486
Ag 0.798 0.798 0.592
Ag 0.104 0.104 0.703
Ag 0.410 0.410 0.819
Ag 0.712 0.712 0.922
Cu 0.015 0.015 0.016
Cu 0.296 0.296 0.107
Cu 0.591 0.591 0.195
Cu 0.189 0.189 0.377
CELL_PARAMETERS angstrom
0.349 3.244 3.634
-3.211 1.511 3.355
2.754 -6.502 5.228
! space-group type = Cm (8)
! energy of formation = 8 kJ/mol of atoms
! distance to the lowest polymorph of the same formula = 48 meV/atom